## TlIr3 (GGA-PBE)

Data for crystalline TlIr3 at its relaxed geometry.

Properties
Size of the total moment (μB per cell): 0.000
Density of states at the Fermi level (states/eV/f.u.): 3.508
Formation energy from the elements (eV/atom): 0.439

a = 5.255 Å, b = 9.190 Å, c = 5.509 Å
α = 90.00°, β = 90.00°, γ = 90.00°
Fractional positions:
1 Tl 0.071 0.250 0.102
2 Tl 0.429 0.750 0.602
3 Tl 0.571 0.250 0.398
4 Tl 0.929 0.750 0.898
5 Ir 0.102 0.250 0.610
6 Ir 0.192 0.511 0.342
7 Ir 0.192 0.989 0.342
8 Ir 0.308 0.011 0.842
9 Ir 0.308 0.489 0.842
10 Ir 0.398 0.750 0.110
11 Ir 0.602 0.250 0.890
12 Ir 0.692 0.511 0.158
13 Ir 0.692 0.989 0.158
14 Ir 0.808 0.011 0.658
15 Ir 0.808 0.489 0.658
16 Ir 0.898 0.750 0.390



## TlIr3 (GGA-PBE)

Data for crystalline TlIr3 at its relaxed geometry.

Properties
Size of the total moment (μB per cell): 0.000
Density of states at the Fermi level (states/eV/f.u.): 4.466
Formation energy from the elements (eV/atom): 0.517

a = 4.641 Å, b = 5.794 Å, c = 4.878 Å
α = 90.00°, β = 90.00°, γ = 90.00°
Fractional positions:
1 Tl 0.250 0.250 0.154
2 Tl 0.750 0.750 0.846
3 Ir 0.250 0.501 0.654
4 Ir 0.250 0.750 0.188
5 Ir 0.250 0.999 0.654
6 Ir 0.750 0.001 0.346
7 Ir 0.750 0.250 0.812
8 Ir 0.750 0.499 0.346



## Tl4Ir (GGA-PBE)

Data for crystalline Tl4Ir at its relaxed geometry.

Properties
Polymorph energy (0 for the lowest one) (kJ/mol of formula units): 63
Size of the total moment (μB per cell): 0.000
Density of states at the Fermi level (states/eV/f.u.): 4.507
Formation energy from the elements (eV/atom): 0.287

a = 5.699 Å, b = 5.699 Å, c = 5.699 Å
α = 109.47°, β = 109.47°, γ = 109.47°
Fractional positions:
1 Tl 0.000 0.000 0.500
2 Tl 0.000 0.500 0.000
3 Tl 0.500 0.000 0.000
4 Tl 0.500 0.500 0.500
5 Ir 0.000 0.000 0.000



## Tl3Ir (GGA-PBE)

Data for crystalline Tl3Ir at its relaxed geometry.

Properties
Polymorph energy (0 for the lowest one) (kJ/mol of formula units): 48
Size of the total moment (μB per cell): 0.000
Density of states at the Fermi level (states/eV/f.u.): 1.676
Formation energy from the elements (eV/atom): 0.258

a = 7.712 Å, b = 7.712 Å, c = 7.712 Å
α = 156.61°, β = 144.66°, γ = 42.82°
Fractional positions:
1 Tl 0.000 0.000 0.000
2 Tl 0.322 0.822 0.500
3 Tl 0.678 0.178 0.500
4 Ir 0.500 0.500 0.000



## TlIr2 (GGA-PBE)

Data for crystalline TlIr2 at its relaxed geometry.

Properties
Polymorph energy (0 for the lowest one) (kJ/mol of formula units): 43
Size of the total moment (μB per cell): 0.000
Density of states at the Fermi level (states/eV/f.u.): 2.295
Formation energy from the elements (eV/atom): 0.576

a = 6.107 Å, b = 6.107 Å, c = 6.107 Å
α = 153.37°, β = 143.33°, γ = 45.89°
Fractional positions:
1 Tl 0.000 0.000 0.000
2 Ir 0.291 0.291 0.000
3 Ir 0.709 0.709 0.000



## TlIr3 (GGA-PBE)

Data for crystalline TlIr3 at its relaxed geometry.

Properties
Size of the total moment (μB per cell): 0.000
Density of states at the Fermi level (states/eV/f.u.): 3.456
Formation energy from the elements (eV/atom): 0.434

a = 4.821 Å, b = 4.821 Å, c = 5.043 Å
α = 99.64°, β = 99.64°, γ = 34.80°
Fractional positions:
1 Tl 0.000 0.000 0.000
2 Ir 0.244 0.244 0.721
3 Ir 0.500 0.500 0.500
4 Ir 0.756 0.756 0.279



## TlIr2 (GGA-PBE)

Data for crystalline TlIr2 at its relaxed geometry.

Properties
Polymorph energy (0 for the lowest one) (kJ/mol of formula units): 21
Size of the total moment (μB per cell): 0.000
Density of states at the Fermi level (states/eV/f.u.): 4.063
Formation energy from the elements (eV/atom): 0.497

a = 5.518 Å, b = 5.518 Å, c = 4.616 Å
α = 90.00°, β = 90.00°, γ = 57.26°
Fractional positions:
1 Tl 0.235 0.765 0.750
2 Tl 0.765 0.235 0.250
3 Ir 0.102 0.353 0.750
4 Ir 0.353 0.102 0.250
5 Ir 0.647 0.898 0.750
6 Ir 0.898 0.647 0.250



## TlIr2 (GGA-PBE)

Data for crystalline TlIr2 at its relaxed geometry.

Properties
Polymorph energy (0 for the lowest one) (kJ/mol of formula units): 47
Size of the total moment (μB per cell): 0.003
Density of states at the Fermi level (states/eV/f.u.): 5.019
Formation energy from the elements (eV/atom): 0.587

a = 5.374 Å, b = 5.374 Å, c = 5.374 Å
α = 60.00°, β = 60.00°, γ = 60.00°
Fractional positions:
1 Tl 0.125 0.125 0.125
2 Tl 0.875 0.875 0.875
3 Ir 0.000 0.500 0.500
4 Ir 0.500 0.000 0.500
5 Ir 0.500 0.500 0.000
6 Ir 0.500 0.500 0.500



Across the entries above, ρ takes the values 19.50, 19.78, 11.77, 12.72, 16.09, 19.69, 16.54, 17.82 g cm⁻³, respectively.